Computed, not measured: a geometry-optimized HfNi2HO structure at the GGA+U level of DFT.

Values from the calculation:
E_tot, Ha/atom: -0.17852
Symmetry: P4/mmm

Cell lengths 3.2154, 3.2154, 4.9205 Å; angles 90.00, 90.00, 90.00 degrees
Sites, in units of the cell vectors:
Hf 0.0000 0.0000 0.0000
Ni 0.0000 0.5000 0.5000
Ni 0.5000 0.0000 0.5000
H 0.0000 0.0000 0.5000
O 0.5000 0.5000 0.0000